--- w ---
{
  "formula": "NaEr6Te8",
  "functional": "PBE",
  "state": "relaxed",
  "volume_a3_per_cell": 455,
  "space_group": "Fm-3m, No. 225",
  "dos_at_fermi_per_ev_atom": 0.31,
  "lattice": [[0.1079, 1.9501, 8.4104], [4.9395, -4.5527, 5.4242], [7.0186, 3.6049, 3.5061]],
  "species": ["Na", "Er", "Er", "Er", "Er", "Er", "Er", "Te", "Te", "Te", "Te", "Te", "Te", "Te", "Te"],
  "fractional_positions": [[0.0000, 0.0000, 0.0000], [0.0000, 0.5000, 0.5000], [0.5000, 0.0000, 0.0000], [0.5000, 0.5000, 0.0000], [0.0000, 0.0000, 0.5000], [0.0000, 0.5000, 0.0000], [0.5000, 0.0000, 0.5000], [0.7500, 0.7500, 0.7500], [0.2500, 0.2500, 0.2500], [0.7423, 0.2577, 0.2577], [0.2577, 0.7423, 0.7423], [0.2577, 0.2577, 0.7423], [0.7423, 0.7423, 0.2577], [0.7423, 0.2577, 0.7423], [0.2577, 0.7423, 0.2577]]
}



--- x ---
{
  "formula": "NaEr6Te8",
  "functional": "PBE",
  "state": "relaxed",
  "volume_a3_per_cell": 505,
  "space_group": "P-3, No. 147",
  "dos_at_fermi_per_ev_atom": 0.79,
  "lattice": [[4.4515, 0.0000, 0.0000], [0.0000, 11.4478, 0.0000], [0.0000, -5.7239, 9.9141]],
  "species": ["Na", "Er", "Er", "Er", "Er", "Er", "Er", "Te", "Te", "Te", "Te", "Te", "Te", "Te", "Te"],
  "fractional_positions": [[0.5000, 0.0000, 0.0000], [0.7497, 0.5126, 0.6478], [0.7497, 0.3522, 0.8648], [0.7497, 0.1352, 0.4874], [0.2503, 0.4874, 0.3522], [0.2503, 0.6478, 0.1352], [0.2503, 0.8648, 0.5126], [0.7501, 0.6563, 0.9578], [0.7501, 0.0422, 0.6986], [0.7501, 0.3014, 0.3437], [0.2499, 0.3437, 0.0422], [0.2499, 0.9578, 0.3014], [0.2499, 0.6986, 0.6563], [0.7504, 0.6667, 0.3333], [0.2496, 0.3333, 0.6667]]
}



The data favor w; the next most stable structure lies 0.031 eV/atom above it.



--- w ---
{
  "formula": "NaErTl2",
  "functional": "PBE",
  "state": "relaxed",
  "volume_a3_per_cell": 106,
  "space_group": "P4/mmm, No. 123",
  "dos_at_fermi_per_ev_atom": 0.54,
  "lattice": [[3.8179, 0.0000, 0.0000], [0.0000, 5.2788, 0.0000], [0.0000, 0.0000, 5.2788]],
  "species": ["Na", "Tl", "Tl", "Er"],
  "fractional_positions": [[0.5000, 0.0000, 0.0000], [0.0000, 0.0000, 0.5000], [0.0000, 0.5000, 0.0000], [0.5000, 0.5000, 0.5000]]
}



--- x ---
{
  "formula": "NaErTl2",
  "functional": "PBE",
  "state": "relaxed",
  "volume_a3_per_cell": 116,
  "space_group": "R-3m, No. 166",
  "dos_at_fermi_per_ev_atom": 0.82,
  "lattice": [[3.6001, 0.0000, 0.0000], [1.8001, 3.1178, 0.0000], [1.8001, 1.0393, 10.3378]],
  "species": ["Na", "Tl", "Tl", "Er"],
  "fractional_positions": [[0.5000, 0.5000, 0.5000], [0.7490, 0.7490, 0.7530], [0.2510, 0.2510, 0.2470], [0.0000, 0.0000, 0.0000]]
}



--- y ---
{
  "formula": "NaErTl2",
  "functional": "PBE",
  "state": "relaxed",
  "volume_a3_per_cell": 116,
  "space_group": "R3m, No. 160",
  "dos_at_fermi_per_ev_atom": 0.75,
  "lattice": [[-0.6123, -3.2527, -1.4780], [1.2061, -2.9952, 1.6471], [-8.5575, -2.7753, 5.2078]],
  "species": ["Na", "Er", "Tl", "Tl"],
  "fractional_positions": [[0.4998, 0.4998, 0.5005], [0.6667, 0.6667, 0.9998], [0.0827, 0.0827, 0.7519], [0.2507, 0.2507, 0.2478]]
}



--- z ---
{
  "formula": "NaErTl2",
  "functional": "PBE",
  "state": "relaxed",
  "volume_a3_per_cell": 106,
  "space_group": "Fm-3m, No. 225",
  "dos_at_fermi_per_ev_atom": 0.38,
  "lattice": [[5.3183, 0.0000, 0.0000], [2.6592, 4.6058, 0.0000], [2.6592, 1.5353, 4.3424]],
  "species": ["Na", "Tl", "Tl", "Er"],
  "fractional_positions": [[0.0000, 0.0000, 0.0000], [0.2500, 0.2500, 0.2500], [0.7500, 0.7500, 0.7500], [0.5000, 0.5000, 0.5000]]
}



The data favor w; the next most stable structure lies 0.025 eV/atom above it.